Computed, not measured: Mn3AlN after structural relaxation at the PBEsol level of DFT.

a = 3.724 Å, b = 3.724 Å, c = 3.724 Å
α = 90.00°, β = 90.00°, γ = 90.00°
Each line ends with the local moment (μB).
Atoms (fractional coordinates):
Mn (0.000, 0.500, 0.000)  0.96
Mn (0.000, 0.000, 0.500)  0.96
Mn (0.500, 0.000, 0.000)  0.96
Al (0.500, 0.500, 0.500)  -0.04
N (0.000, 0.000, 0.000)  -0.07

ΔE_f (raw), meV/atom: -447
D(E_F), states/eV/f.u.: 3.291
VASP energy, eV per cell: -44.1